A:
PBE Ta2CuPt2, relaxed; total moment = 0.0 μB per cell; crystal system = tetragonal
1.0
7.914 0.000 0.000
0.000 7.914 0.000
0.000 0.000 2.805
Ta Cu Pt
4 2 4
Direct
0.165 0.335 0.000
0.335 0.835 0.000
0.665 0.165 0.000
0.835 0.665 0.000
0.000 0.000 0.000
0.500 0.500 0.000
0.130 0.630 0.500
0.370 0.130 0.500
0.630 0.870 0.500
0.870 0.370 0.500


B:
PBE Ta2CuPt2, relaxed; total moment = 0.0 μB per cell; crystal system = tetragonal
1.0
7.219 0.000 0.000
0.000 7.219 0.000
0.000 0.000 3.294
Ta Cu Pt
4 2 4
Direct
0.171 0.329 0.000
0.329 0.829 0.000
0.671 0.171 0.000
0.829 0.671 0.000
0.000 0.000 0.500
0.500 0.500 0.500
0.133 0.633 0.500
0.367 0.133 0.500
0.633 0.867 0.500
0.867 0.367 0.500


C:
PBE Ta2CuPt2, relaxed; total moment = 0.0 μB per cell; crystal system = orthorhombic
1.0
2.361 -7.290 0.000
2.361 7.290 0.000
0.000 0.000 4.765
Ta Cu Pt
4 2 4
Direct
0.141 0.859 0.500
0.355 0.645 0.499
0.645 0.355 0.999
0.859 0.141 0.000
0.461 0.539 0.998
0.539 0.461 0.498
0.056 0.944 0.000
0.277 0.723 0.998
0.723 0.277 0.498
0.944 0.056 0.500


C is preferred energetically. Next in line: 121 meV per atom higher.


A:
PBE TaCu2Pt2, relaxed; total moment = 0.0 μB per cell; crystal system = monoclinic
1.0
4.338 -1.910 0.000
4.338 1.910 0.000
-4.224 0.000 4.418
Ta Cu Pt
1 2 2
Direct
0.000 0.000 0.000
0.198 0.198 0.590
0.802 0.802 0.410
0.407 0.407 0.201
0.593 0.593 0.799


B:
PBE TaCu2Pt2, relaxed; total moment = 0.0 μB per cell; crystal system = tetragonal
1.0
7.196 0.000 0.000
0.000 7.196 0.000
0.000 0.000 2.907
Ta Cu Pt
2 4 4
Direct
0.000 0.000 0.000
0.500 0.500 0.000
0.161 0.339 0.500
0.339 0.839 0.500
0.661 0.161 0.500
0.839 0.661 0.500
0.138 0.638 0.000
0.362 0.138 0.000
0.638 0.862 0.000
0.862 0.362 0.000


A is preferred energetically. Next in line: 313 meV per atom higher.


A:
PBE TaCu2Pt2, relaxed; total moment = 0.0 μB per cell; crystal system = tetragonal
1.0
7.167 0.000 0.000
0.000 7.167 0.000
0.000 0.000 2.862
Ta Cu Pt
2 4 4
Direct
0.000 0.000 0.000
0.500 0.500 0.000
0.118 0.382 0.000
0.382 0.882 0.000
0.618 0.118 0.000
0.882 0.618 0.000
0.180 0.680 0.500
0.320 0.180 0.500
0.680 0.820 0.500
0.820 0.320 0.500


B:
PBE TaCu2Pt2, relaxed; total moment = 0.0 μB per cell; crystal system = monoclinic
1.0
4.612 -2.378 0.000
4.612 2.378 0.000
-2.938 0.000 6.706
Ta Cu Pt
2 4 4
Direct
0.171 0.829 0.750
0.829 0.171 0.250
0.234 0.556 0.052
0.444 0.766 0.448
0.556 0.234 0.552
0.766 0.444 0.948
0.024 0.349 0.641
0.349 0.024 0.141
0.651 0.976 0.859
0.976 0.651 0.359


B is preferred energetically. Next in line: 172 meV per atom higher.